A plane-wave DFT calculation with PBE was carried out for a geometry-optimized PmNdPbCl structure.

abc: 7.6460 7.6460 7.6460
angles: 90.00 90.00 90.00
Space group F-43m (No. 216)
Inequivalent atoms, fractional coordinates:
Pm (0.0000, 0.0000, 0.0000) [4 per cell]
Nd (0.0000, 0.0000, 0.5000) [4 per cell]
Pb (0.2500, 0.2500, 0.2500) [4 per cell]
Cl (0.2500, 0.2500, 0.7500) [4 per cell]

Output
Its calculated volume is 27.94 Å³/atom. As for the uncorrected formation energy: -877 meV per atom.